A geometry-optimized BiOsBr3 structure, computed with GGA-PBE.

**Excess energy over the best structure of this formula in the dataset**: 0 meV/atom
**Symmetry**: Pm-3m, No. 221
**Energy**: -17.14 eV per cell

Unit cell a=5.0621 b=5.0621 c=5.0621 alpha=90.00 beta=90.00 gamma=90.00
With the nearest neighbours (Å) after each atom.
Positions (direct):
1 Br 0.0000 0.5000 0.0000  2 Os 2.53
2 Br 0.0000 0.0000 0.5000  2 Os 2.53
3 Br 0.5000 0.0000 0.0000  2 Os 2.53
4 Os 0.0000 0.0000 0.0000  6 Br 2.53
5 Bi 0.5000 0.5000 0.5000  12 Br 3.58